Sr6Pd2Au | PBE | optimized geometry

Cell: 7.5766 7.5766 7.2304 Å, 90.00 90.00 120.00°
Fractional coordinates of all 9 atoms:
Sr 0.0000 0.3373 0.2404
Sr 0.0000 0.6627 0.7596
Sr 0.3373 0.0000 0.2404
Sr 0.3373 0.3373 0.7596
Sr 0.6627 0.0000 0.7596
Sr 0.6627 0.6627 0.2404
Pd 0.3333 0.6667 0.0000
Pd 0.6667 0.3333 0.0000
Au 0.0000 0.0000 0.5000

Summary:
E: -3.12 eV per atom
Size of the total moment: 0.0 μB/f.u.
Symmetry: No. 162